{
  "formula": "ZrTe3",
  "functional": "GGA-PBE",
  "state": "relaxed",
  "total_magnetization_mub_per_fu": 0.000,
  "spacegroup": "Immm (71)",
  "raw_formation_energy_mev_per_atom": -339.6,
  "total_energy_ev_per_cell": -19.331,
  "crystal_system": "orthorhombic",
  "cell": [[-1.845, 2.529, 6.593], [1.845, -2.529, 6.593], [1.845, 2.529, -6.593]],
  "species": ["Zr", "Te", "Te", "Te"],
  "frac_coords": [[0.000, 0.000, 0.000], [0.174, 0.674, 0.500], [0.500, 0.500, 0.000], [0.826, 0.326, 0.500]]
}